# Mg2AlTl | the Alexandria database | PBE-GGA | relaxed
# M_tot = 0.000 μB per formula unit
# uncorrected energy = -2.0880 eV/atom
data_Mg2AlTl
_symmetry_space_group_name_H-M 'P 1'
_symmetry_Int_Tables_number 1
_cell_length_a 7.2402
_cell_length_b 7.2402
_cell_length_c 7.2402
_cell_angle_alpha 33.52
_cell_angle_beta 33.52
_cell_angle_gamma 33.52
loop_
_symmetry_equiv_pos_as_xyz
'x,y,z'
loop_
_atom_site_label
_atom_site_type_symbol
_atom_site_fract_x
_atom_site_fract_y
_atom_site_fract_z
Mg1 Mg 0.0000 0.0000 0.0000
Mg2 Mg 0.1553 0.1553 0.1553
Al1 Al 0.4127 0.4127 0.4127
Tl1 Tl 0.5763 0.5763 0.5763